No. 1
Compound: CsGa3Ag3
Source: Alexandria
Functional: PBE-GGA
Structure: optimized geometry

```
data_CsGa3Ag3
_chemical_formula_sum 'Cs2 Ga6 Ag6'
_cell_length_a 7.373
_cell_length_b 7.373
_cell_length_c 7.373
_cell_angle_alpha 90.00
_cell_angle_beta 90.00
_cell_angle_gamma 90.00
_symmetry_space_group_name_H-M 'P m -3 n'
_symmetry_Int_Tables_number 223
_symmetry_space_group_name_Hall '-P 4n 2 3'
loop_
_atom_site_label
_atom_site_type_symbol
_atom_site_fract_x
_atom_site_fract_y
_atom_site_fract_z
_atom_site_occupancy
Cs1 Cs 0.000 0.000 0.000 1
Ga1 Ga 0.000 0.250 0.500 1
Ag1 Ag 0.000 0.500 0.250 1
```

E_tot ... -2.5228 eV per atom
Total moment ... 0.000 μB per atom

---

No. 2
Compound: Ce2YHg6
Source: Alexandria
Functional: PBE-GGA
Structure: optimized geometry

```
data_Ce2YHg6
_chemical_formula_sum 'Ce2 Y1 Hg6'
_cell_length_a 8.7478
_cell_length_b 8.7478
_cell_length_c 3.4052
_cell_angle_alpha 90.00
_cell_angle_beta 90.00
_cell_angle_gamma 120.00
_symmetry_space_group_name_H-M 'P 6/m m m'
_symmetry_Int_Tables_number 191
_symmetry_space_group_name_Hall '-P 6 2'
loop_
_atom_site_label
_atom_site_type_symbol
_atom_site_fract_x
_atom_site_fract_y
_atom_site_fract_z
_atom_site_occupancy
Ce1 Ce 0.3333 0.6667 0.0000 1
Y1 Y 0.0000 0.0000 0.0000 1
Hg1 Hg 0.0000 0.3311 0.5000 1
```

E_tot ... -2.6068 eV per atom
Total moment ... 0.285 μB per atom

---

no.,energy of formation from the pure elements (meV per atom)
1,118
2,-369